# MnICl3 GGA-PBE optimized geometry
# DFT total energy: -2.87 eV/atom
# Offset from the most stable computed form: 1.106 eV/atom
data_MnICl3
_chemical_formula_sum 'Mn1 I1 Cl3'
_cell_length_a 5.592
_cell_length_b 5.592
_cell_length_c 5.592
_cell_angle_alpha 90.00
_cell_angle_beta 90.00
_cell_angle_gamma 90.00
_space_group_name_H-M_alt 'P m -3 m'
_space_group_IT_number 221
_space_group_name_Hall '-P 4 2 3'
loop_
_atom_site_label
_atom_site_type_symbol
_atom_site_fract_x
_atom_site_fract_y
_atom_site_fract_z
Mn1 Mn 0.000 0.000 0.000
I1 I 0.500 0.500 0.500
Cl1 Cl 0.000 0.500 0.500

=====

# LiNdGdAu GGA-PBE optimized geometry
# DFT total energy: -6.37 eV/atom
data_LiNdGdAu
_chemical_formula_sum 'Li4 Nd4 Gd4 Au4'
_cell_length_a 7.374
_cell_length_b 7.374
_cell_length_c 7.374
_cell_angle_alpha 90.00
_cell_angle_beta 90.00
_cell_angle_gamma 90.00
_space_group_name_H-M_alt 'F -4 3 m'
_space_group_IT_number 216
_space_group_name_Hall 'F -4 2 3'
loop_
_atom_site_label
_atom_site_type_symbol
_atom_site_fract_x
_atom_site_fract_y
_atom_site_fract_z
Li1 Li 0.000 0.000 0.000
Nd1 Nd 0.250 0.250 0.750
Gd1 Gd 0.250 0.250 0.250
Au1 Au 0.000 0.000 0.500

=====

# ThSi3Ru GGA-PBE optimized geometry
# DFT total energy: -7.19 eV/atom
data_ThSi3Ru
_chemical_formula_sum 'Th2 Si6 Ru2'
_cell_length_a 5.940
_cell_length_b 5.617
_cell_length_c 5.721
_cell_angle_alpha 90.00
_cell_angle_beta 90.00
_cell_angle_gamma 90.00
_space_group_name_H-M_alt 'P m n 21'
_space_group_IT_number 31
_space_group_name_Hall 'P 2ac -2'
loop_
_atom_site_label
_atom_site_type_symbol
_atom_site_fract_x
_atom_site_fract_y
_atom_site_fract_z
Th1 Th 0.000 0.150 0.000
Si1 Si 0.000 0.944 0.517
Si2 Si 0.215 0.326 0.488
Ru1 Ru 0.000 0.616 0.268

=====

# ScAs2Se GGA-PBE optimized geometry
# DFT total energy: -5.44 eV/atom
data_ScAs2Se
_chemical_formula_sum 'Sc2 As4 Se2'
_cell_length_a 4.136
_cell_length_b 3.831
_cell_length_c 10.282
_cell_angle_alpha 90.00
_cell_angle_beta 90.00
_cell_angle_gamma 90.00
_space_group_name_H-M_alt 'A m m 2'
_space_group_IT_number 38
_space_group_name_Hall 'A 2 -2'
loop_
_atom_site_label
_atom_site_type_symbol
_atom_site_fract_x
_atom_site_fract_y
_atom_site_fract_z
Sc1 Sc 0.000 0.000 0.000
As1 As 0.500 0.000 0.564
As2 As 0.500 0.000 0.801
Se1 Se 0.000 0.000 0.293

=====

# ReIr3 GGA-PBE optimized geometry
# DFT total energy: -9.67 eV/atom
# Offset from the most stable computed form: 0.236 eV/atom
data_ReIr3
_chemical_formula_sum 'Re4 Ir12'
_cell_length_a 3.904
_cell_length_b 16.276
_cell_length_c 3.897
_cell_angle_alpha 90.00
_cell_angle_beta 90.00
_cell_angle_gamma 90.00
_space_group_name_H-M_alt 'C m c m'
_space_group_IT_number 63
_space_group_name_Hall '-C 2c 2'
loop_
_atom_site_label
_atom_site_type_symbol
_atom_site_fract_x
_atom_site_fract_y
_atom_site_fract_z
Re1 Re 0.000 0.066 0.250
Ir1 Ir 0.000 0.172 0.750
Ir2 Ir 0.000 0.328 0.750
Ir3 Ir 0.000 0.441 0.250

=====

# SrTcOs2 GGA-PBE optimized geometry
# DFT total energy: -7.75 eV/atom
# Offset from the most stable computed form: 0.267 eV/atom
data_SrTcOs2
_chemical_formula_sum 'Sr2 Tc2 Os4'
_cell_length_a 2.857
_cell_length_b 4.928
_cell_length_c 10.125
_cell_angle_alpha 90.00
_cell_angle_beta 90.00
_cell_angle_gamma 90.00
_space_group_name_H-M_alt 'I m m m'
_space_group_IT_number 71
_space_group_name_Hall '-I 2 2'
loop_
_atom_site_label
_atom_site_type_symbol
_atom_site_fract_x
_atom_site_fract_y
_atom_site_fract_z
Sr1 Sr 0.000 0.000 0.000
Tc1 Tc 0.000 0.000 0.500
Os1 Os 0.000 0.500 0.218

=====

# Co3TeIr GGA-PBE optimized geometry
# DFT total energy: -5.50 eV/atom
# Offset from the most stable computed form: 0.000 eV/atom
data_Co3TeIr
_chemical_formula_sum 'Co3 Te1 Ir1'
_cell_length_a 4.612
_cell_length_b 4.612
_cell_length_c 4.612
_cell_angle_alpha 90.00
_cell_angle_beta 90.00
_cell_angle_gamma 90.00
_space_group_name_H-M_alt 'P m -3 m'
_space_group_IT_number 221
_space_group_name_Hall '-P 4 2 3'
loop_
_atom_site_label
_atom_site_type_symbol
_atom_site_fract_x
_atom_site_fract_y
_atom_site_fract_z
Co1 Co 0.000 0.000 0.500
Te1 Te 0.500 0.500 0.500
Ir1 Ir 0.000 0.000 0.000

=====

# TbSm5In2 GGA-PBE optimized geometry
# DFT total energy: -4.37 eV/atom
# Offset from the most stable computed form: 0.113 eV/atom
data_TbSm5In2
_chemical_formula_sum 'Tb2 Sm10 In4'
_cell_length_a 3.641
_cell_length_b 10.853
_cell_length_c 12.597
_cell_angle_alpha 90.00
_cell_angle_beta 90.00
_cell_angle_gamma 90.00
_space_group_name_H-M_alt 'I m m m'
_space_group_IT_number 71
_space_group_name_Hall '-I 2 2'
loop_
_atom_site_label
_atom_site_type_symbol
_atom_site_fract_x
_atom_site_fract_y
_atom_site_fract_z
Tb1 Tb 0.000 0.000 0.000
Sm1 Sm 0.000 0.222 0.363
Sm2 Sm 0.000 0.500 0.000
In1 In 0.000 0.500 0.271

=====

Question: Which formula does entry 6 have?
Answer: SrTcOs2

=====

Question: Which value of DFT total energy does entry 7 give?
Answer: -5.50 eV/atom

=====

Question: Which of these has the highest DFT total energy?
Answer: MnICl3

=====

Copy entry 3 word for word.
# ThSi3Ru GGA-PBE optimized geometry
# DFT total energy: -7.19 eV/atom
data_ThSi3Ru
_chemical_formula_sum 'Th2 Si6 Ru2'
_cell_length_a 5.940
_cell_length_b 5.617
_cell_length_c 5.721
_cell_angle_alpha 90.00
_cell_angle_beta 90.00
_cell_angle_gamma 90.00
_space_group_name_H-M_alt 'P m n 21'
_space_group_IT_number 31
_space_group_name_Hall 'P 2ac -2'
loop_
_atom_site_label
_atom_site_type_symbol
_atom_site_fract_x
_atom_site_fract_y
_atom_site_fract_z
Th1 Th 0.000 0.150 0.000
Si1 Si 0.000 0.944 0.517
Si2 Si 0.215 0.326 0.488
Ru1 Ru 0.000 0.616 0.268